Ce3NdSm2N6: relaxed, GGA-PBE.

Values from the calculation:
- Formation energy without anion corrections: -17.88 eV/f.u.

a b c (Å): 6.210 6.210 6.204
angles (deg): 99.61 99.61 119.99
Positions (direct):
Ce 0.167 0.833 0.500
Ce 0.833 0.167 0.500
Ce 0.500 0.500 0.500
Nd 0.000 0.000 0.000
Sm 0.333 0.667 0.000
Sm 0.667 0.333 0.000
N 0.913 0.575 0.738
N 0.750 0.750 0.262
N 0.087 0.425 0.262
N 0.575 0.913 0.738
N 0.250 0.250 0.738
N 0.425 0.087 0.262

***

NaTmPb: relaxed, GGA-PBE.

Values from the calculation:
- Calculated formation energy: -0.19 eV per atom

a b c (Å): 3.552 3.552 15.065
angles (deg): 96.77 96.77 90.00
Positions (direct):
Na 0.561 0.561 0.122
Na 0.439 0.439 0.878
Tm 0.292 0.292 0.583
Tm 0.708 0.708 0.417
Pb 0.134 0.134 0.269
Pb 0.866 0.866 0.731

***

Ni2MoOs: relaxed, GGA-PBE.

Values from the calculation:
- Relative energy among the computed polymorphs: 0.067 eV/atom
- Calculated formation energy: 0.05 eV per atom

a b c (Å): 2.649 3.757 5.262
angles (deg): 90.00 90.00 90.00
Positions (direct):
Mo 0.500 0.500 0.759
Ni 0.000 0.000 0.013
Ni 0.500 0.500 0.240
Os 0.000 0.000 0.488

***

ReSbI2O: relaxed, GGA-PBE.

Values from the calculation:
- Formation energy without anion corrections: 4.50 eV/f.u.
- Relative energy among the computed polymorphs: 0.803 eV/atom

a b c (Å): 6.194 6.194 4.109
angles (deg): 90.00 90.00 90.00
Positions (direct):
I 0.000 0.500 0.000
I 0.500 0.000 0.000
Re 0.500 0.500 0.500
O 0.000 0.000 0.500
Sb 0.000 0.000 0.000

***

Please write out number 3 again, unchanged.
Ni2MoOs: relaxed, GGA-PBE.

Values from the calculation:
- Relative energy among the computed polymorphs: 0.067 eV/atom
- Calculated formation energy: 0.05 eV per atom

a b c (Å): 2.649 3.757 5.262
angles (deg): 90.00 90.00 90.00
Positions (direct):
Mo 0.500 0.500 0.759
Ni 0.000 0.000 0.013
Ni 0.500 0.500 0.240
Os 0.000 0.000 0.488